BiC3F, optimized geometry, DFT PBE; space group = Pm-3m, No. 221; energy relative to the lowest polymorph listed for this composition = 0.381 eV per atom; density of states at the Fermi level = 5.77 states/eV/cell; energy = -3.382 eV/atom; uncorrected formation energy = 16.52 eV/f.u.
1.0
4.645 0.000 0.000
0.000 4.645 0.000
0.000 0.000 4.645
Bi C F
1 3 1
Direct
0.000 0.000 0.000 Bi
0.000 0.000 0.500 C
0.000 0.500 0.000 C
0.500 0.000 0.000 C
0.500 0.500 0.500 F

---

Cs3Al2H8, optimized geometry, DFT PBE; space group = R-3m, No. 166; density of states at the Fermi level = 5.00 states/eV/cell; energy = -2.996 eV/atom
1.0
3.124 1.804 7.659
-3.124 1.804 7.659
0.000 -3.608 7.659
Cs Al H
3 2 8
Direct
0.000 0.000 0.000 Cs
0.210 0.210 0.210 Cs
0.790 0.790 0.790 Cs
0.407 0.407 0.407 Al
0.593 0.593 0.593 Al
0.280 0.710 0.710 H
0.290 0.290 0.720 H
0.290 0.720 0.290 H
0.336 0.336 0.336 H
0.664 0.664 0.664 H
0.710 0.280 0.710 H
0.710 0.710 0.280 H
0.720 0.290 0.290 H

---

Ce8Tl2Rh, optimized geometry, DFT PBE; space group = C2/m, No. 12; density of states at the Fermi level = 31.20 states/eV/cell; energy = -5.608 eV/atom; ΔH_f (0 K) = -194 meV/atom
1.0
8.452 -2.624 0.000
8.452 2.624 0.000
-2.190 0.000 6.477
Ce Tl Rh
8 2 1
Direct
0.003 0.003 0.306 Ce
0.189 0.189 0.145 Ce
0.351 0.351 0.100 Ce
0.401 0.401 0.599 Ce
0.599 0.599 0.401 Ce
0.649 0.649 0.900 Ce
0.811 0.811 0.855 Ce
0.997 0.997 0.694 Ce
0.196 0.196 0.652 Tl
0.804 0.804 0.348 Tl
0.500 0.500 0.000 Rh

---

Ta4Ru3, optimized geometry, DFT PBE; space group = I4/mmm, No. 139; energy relative to the lowest polymorph listed for this composition = 0.000 eV per atom; density of states at the Fermi level = 4.91 states/eV/cell; energy = -10.991 eV/atom; ΔH_f (0 K) = -243 meV/atom
1.0
-1.586 1.586 11.466
1.586 -1.586 11.466
1.586 1.586 -11.466
Ta Ru
4 3
Direct
0.070 0.070 0.000 Ta
0.352 0.352 0.000 Ta
0.648 0.648 0.000 Ta
0.930 0.930 0.000 Ta
0.209 0.209 0.000 Ru
0.500 0.500 0.000 Ru
0.791 0.791 0.000 Ru

---

Pm4Ag3Rh, optimized geometry, DFT PBE; space group = Pmmm, No. 47; density of states at the Fermi level = 6.46 states/eV/cell; energy = -4.741 eV/atom; ΔH_f (0 K) = -377 meV/atom
1.0
3.646 0.000 0.000
0.000 5.239 0.000
0.000 0.000 10.415
Pm Ag Rh
4 3 1
Direct
0.000 0.000 0.000 Pm
0.000 0.000 0.500 Pm
0.000 0.500 0.229 Pm
0.000 0.500 0.771 Pm
0.500 0.000 0.254 Ag
0.500 0.000 0.746 Ag
0.500 0.500 0.500 Ag
0.500 0.500 0.000 Rh

---

HfNbMo, optimized geometry, DFT PBE; space group = Imma, No. 74; energy relative to the lowest polymorph listed for this composition = 0.000 eV per atom; density of states at the Fermi level = 6.66 states/eV/cell; energy = -10.390 eV/atom; ΔH_f (0 K) = -105 meV/atom
1.0
-2.684 2.776 3.829
2.684 -2.776 3.829
2.684 2.776 -3.829
Hf Nb Mo
2 2 2
Direct
0.373 0.123 0.250 Hf
0.627 0.877 0.750 Hf
0.000 0.500 0.500 Nb
0.500 0.500 0.000 Nb
0.000 0.000 0.500 Mo
0.000 0.500 0.000 Mo

---

TmTl2Zn, optimized geometry, DFT PBE; space group = P4/mmm, No. 123; density of states at the Fermi level = 2.60 states/eV/cell; energy = -2.769 eV/atom; ΔH_f (0 K) = -150 meV/atom
1.0
4.597 0.000 0.000
0.000 4.597 0.000
0.000 0.000 4.497
Tm Tl Zn
1 2 1
Direct
0.000 0.000 0.000 Tm
0.000 0.500 0.500 Tl
0.500 0.000 0.500 Tl
0.500 0.500 0.000 Zn

---

Ag5P, optimized geometry, DFT PBE; space group = P-62m, No. 189; energy relative to the lowest polymorph listed for this composition = 0.015 eV per atom; density of states at the Fermi level = 2.36 states/eV/cell; energy = -3.119 eV/atom; ΔH_f (0 K) = 159 meV/atom
1.0
5.113 0.000 0.000
-2.556 4.428 0.000
0.000 0.000 4.640
Ag P
5 1
Direct
0.000 0.675 0.000 Ag
0.325 0.325 0.000 Ag
0.333 0.667 0.500 Ag
0.667 0.333 0.500 Ag
0.675 0.000 0.000 Ag
0.000 0.000 0.500 P